[1]
# TlVRe3

A relaxed TlVRe3 crystal (PBE-GGA, Alexandria).

The structure belongs to space group Pm-3m (No. 221); the cell edges are 4.570, 4.570 and 4.570 Å and the angles 90.00°, 90.00° and 90.00°. The inequivalent atoms are Tl at (0.000, 0.000, 0.000), V at (0.500, 0.500, 0.500) and Re at (0.000, 0.500, 0.500).

The calculation puts the excess energy over the best structure of this formula in the dataset at 0.0000 eV per atom. The value obtained for the energy of formation from the pure elements is 1732.7 meV per atom. The value obtained for the density of states at the Fermi level is 6.866 states/eV/cell.

[2]
# Tl3VRe

A relaxed Tl3VRe crystal (PBE-GGA, Alexandria).

The structure belongs to space group Pm-3m (No. 221); the cell edges are 5.232, 5.232 and 5.232 Å and the angles 90.00°, 90.00° and 90.00°. The inequivalent atoms are Tl at (0.000, 0.000, 0.500), V at (0.000, 0.000, 0.000) and Re at (0.500, 0.500, 0.500).

The calculation puts the excess energy over the best structure of this formula in the dataset at 0.4107 eV per atom. The value obtained for the energy of formation from the pure elements is 1673.5 meV per atom. The value obtained for the density of states at the Fermi level is 6.037 states/eV/cell.

[3]
# TlVRe2

A relaxed TlVRe2 crystal (PBE-GGA, Alexandria).

The structure belongs to space group Fm-3m (No. 225); the cell edges are 6.369, 6.369 and 6.369 Å and the angles 90.00°, 90.00° and 90.00°. The inequivalent atoms are Tl at (0.000, 0.000, 0.000), V at (0.000, 0.000, 0.500) and Re at (0.250, 0.250, 0.250).

The calculation puts the excess energy over the best structure of this formula in the dataset at 0.0000 eV per atom. The value obtained for the energy of formation from the pure elements is 700.1 meV per atom. The value obtained for the density of states at the Fermi level is 11.290 states/eV/cell.

[4]
# TlReW2

A relaxed TlReW2 crystal (PBE-GGA, Alexandria).

The structure belongs to space group Pmmm (No. 47); the cell edges are 2.914, 4.090 and 5.870 Å and the angles 90.00°, 90.00° and 90.00°. The inequivalent atoms are Tl at (0.000, 0.000, 0.000), Re at (0.000, 0.000, 0.500) and W at (0.500, 0.500, 0.287).

The calculation puts the excess energy over the best structure of this formula in the dataset at 0.0569 eV per atom. The value obtained for the energy of formation from the pure elements is 656.4 meV per atom. The value obtained for the density of states at the Fermi level is 2.439 states/eV/cell.

[5]
# Tl3ReW

A relaxed Tl3ReW crystal (PBE-GGA, Alexandria).

The structure belongs to space group Pm-3m (No. 221); the cell edges are 5.366, 5.366 and 5.366 Å and the angles 90.00°, 90.00° and 90.00°. The inequivalent atoms are Tl at (0.000, 0.000, 0.500), Re at (0.500, 0.500, 0.500) and W at (0.000, 0.000, 0.000).

The calculation puts the excess energy over the best structure of this formula in the dataset at 0.1173 eV per atom. The value obtained for the energy of formation from the pure elements is 1964.3 meV per atom. The value obtained for the density of states at the Fermi level is 3.057 states/eV/cell.

[6]
# TlReW2

A relaxed TlReW2 crystal (PBE-GGA, Alexandria).

The structure belongs to space group Cmmm (No. 65); the cell edges are 3.164, 4.744 and 9.384 Å and the angles 90.00°, 90.00° and 90.00°. The inequivalent atoms are Tl at (0.000, 0.000, 0.000), Re at (0.000, 0.000, 0.500) and W at (0.000, 0.500, 0.272).

The calculation puts the excess energy over the best structure of this formula in the dataset at 0.0640 eV per atom. The value obtained for the energy of formation from the pure elements is 663.5 meV per atom. The value obtained for the density of states at the Fermi level is 5.661 states/eV/cell.

[7]
# Tl3ReW

A relaxed Tl3ReW crystal (PBE-GGA, Alexandria).

The structure belongs to space group Pm-3m (No. 221); the cell edges are 5.301, 5.301 and 5.301 Å and the angles 90.00°, 90.00° and 90.00°. The inequivalent atoms are Tl at (0.000, 0.000, 0.500), Re at (0.000, 0.000, 0.000) and W at (0.500, 0.500, 0.500).

The calculation puts the excess energy over the best structure of this formula in the dataset at 0.0000 eV per atom. The value obtained for the energy of formation from the pure elements is 1847.0 meV per atom. The value obtained for the density of states at the Fermi level is 2.285 states/eV/cell.

[8]
# TlReW2

A relaxed TlReW2 crystal (PBE-GGA, Alexandria).

The structure belongs to space group Pm (No. 6); the cell edges are 2.974, 4.064 and 5.934 Å and the angles 90.00°, 90.42° and 90.00°. The inequivalent atoms are Tl at (0.000, 0.000, 0.000), Re at (0.515, 0.500, 0.702), W at (0.518, 0.500, 0.293) and W at (0.967, 0.000, 0.506).

The calculation puts the excess energy over the best structure of this formula in the dataset at 0.0734 eV per atom. The value obtained for the energy of formation from the pure elements is 672.9 meV per atom. The value obtained for the density of states at the Fermi level is 2.286 states/eV/cell.

[9]
# TlReW4

A relaxed TlReW4 crystal (PBE-GGA, Alexandria).

The structure belongs to space group F-43m (No. 216); the cell edges are 7.502, 7.502 and 7.502 Å and the angles 90.00°, 90.00° and 90.00°. The inequivalent atoms are Tl at (0.000, 0.000, 0.000), Re at (0.250, 0.250, 0.250) and W at (0.126, 0.126, 0.626).

The value obtained for the energy of formation from the pure elements is 770.4 meV per atom. The value obtained for the density of states at the Fermi level is 26.425 states/eV/cell.

[10]
# TlReW2

A relaxed TlReW2 crystal (PBE-GGA, Alexandria).

The structure belongs to space group P4/mmm (No. 123); the cell edges are 4.505, 4.505 and 3.370 Å and the angles 90.00°, 90.00° and 90.00°. The inequivalent atoms are Tl at (0.000, 0.000, 0.000), Re at (0.500, 0.500, 0.000) and W at (0.000, 0.500, 0.500).

The calculation puts the excess energy over the best structure of this formula in the dataset at 0.3873 eV per atom. The value obtained for the energy of formation from the pure elements is 986.8 meV per atom. The value obtained for the density of states at the Fermi level is 3.641 states/eV/cell.

[11]
# TlReW2

A relaxed TlReW2 crystal (PBE-GGA, Alexandria).

The structure belongs to space group Immm (No. 71); the cell edges are 3.252, 4.532 and 9.301 Å and the angles 90.00°, 90.00° and 90.00°. The inequivalent atoms are Tl at (0.000, 0.000, 0.000), Re at (0.000, 0.000, 0.500) and W at (0.000, 0.500, 0.237).

The calculation puts the excess energy over the best structure of this formula in the dataset at 0.1632 eV per atom. The value obtained for the energy of formation from the pure elements is 762.7 meV per atom. The value obtained for the density of states at the Fermi level is 6.212 states/eV/cell.

[12]
# TlReW2

A relaxed TlReW2 crystal (PBE-GGA, Alexandria).

The structure belongs to space group Imm2 (No. 44); the cell edges are 3.216, 4.613 and 9.297 Å and the angles 90.00°, 90.00° and 90.00°. The inequivalent atoms are Tl at (0.000, 0.000, 0.000), Re at (0.000, 0.500, 0.236), W at (0.000, 0.000, 0.503) and W at (0.000, 0.500, 0.768).

The calculation puts the excess energy over the best structure of this formula in the dataset at 0.1878 eV per atom. The value obtained for the energy of formation from the pure elements is 787.3 meV per atom. The value obtained for the density of states at the Fermi level is 6.095 states/eV/cell.

[13]
# TlReW2

A relaxed TlReW2 crystal (PBE-GGA, Alexandria).

The structure belongs to space group I-42d (No. 122); the cell edges are 7.658, 7.658 and 5.447 Å and the angles 90.00°, 90.00° and 90.00°. The inequivalent atoms are Tl at (0.000, 0.000, 0.000), Re at (0.000, 0.000, 0.500) and W at (0.190, 0.250, 0.625).

The calculation puts the excess energy over the best structure of this formula in the dataset at 0.6148 eV per atom. The value obtained for the energy of formation from the pure elements is 1214.3 meV per atom. The value obtained for the density of states at the Fermi level is 9.299 states/eV/cell.

[14]
# TlReW2

A relaxed TlReW2 crystal (PBE-GGA, Alexandria).

The structure belongs to space group P4/mmm (No. 123); the cell edges are 4.023, 4.023 and 4.201 Å and the angles 90.00°, 90.00° and 90.00°. The inequivalent atoms are Tl at (0.000, 0.000, 0.000), Re at (0.500, 0.500, 0.000) and W at (0.000, 0.500, 0.500).

The calculation puts the excess energy over the best structure of this formula in the dataset at 0.2874 eV per atom. The value obtained for the energy of formation from the pure elements is 887.0 meV per atom. The value obtained for the density of states at the Fermi level is 3.692 states/eV/cell.

[15]
# TlReW2

A relaxed TlReW2 crystal (PBE-GGA, Alexandria).

The structure belongs to space group I-4m2 (No. 119); the cell edges are 4.075, 4.075 and 8.209 Å and the angles 90.00°, 90.00° and 90.00°. The inequivalent atoms are Tl at (0.000, 0.000, 0.000), Re at (0.000, 0.500, 0.250), W at (0.000, 0.000, 0.500) and W at (0.000, 0.500, 0.750).

The calculation puts the excess energy over the best structure of this formula in the dataset at 0.2431 eV per atom. The value obtained for the energy of formation from the pure elements is 842.6 meV per atom. The value obtained for the density of states at the Fermi level is 7.625 states/eV/cell.